BaTlAg2Br8 (PBE, optimized geometry); theoretical density = 4.91 g/cm³; space group = I-4 (82); size of the total moment = 0.62 μB/f.u.; E = -0.1962 Ry per atom; energy relative to the elements, uncorrected = -0.722 eV per atom
1.0
-5.469 3.357 -3.183
3.116 -0.970 -6.377
-2.592 -8.085 3.987
Ag Tl Br Ba
2 1 8 1
Direct
0.500 0.500 0.000
0.250 0.750 0.500
0.750 0.250 0.500
0.633 0.603 0.648
0.311 0.421 0.168
0.954 0.367 0.352
0.579 0.144 0.832
0.015 0.046 0.648
0.856 0.746 0.168
0.397 0.985 0.352
0.254 0.689 0.832
0.000 0.000 0.000

---

BaTmAgBr6 (PBE, optimized geometry); theoretical density = 4.52 g/cm³; space group = P-31c (163); size of the total moment = 0.00 μB/f.u.; E = -0.2757 Ry per atom; energy relative to the elements, uncorrected = -1.609 eV per atom
1.0
-1.332 1.146 7.133
4.591 -5.350 -2.066
10.755 9.012 0.559
Br Tm Ba Ag
12 2 2 2
Direct
0.986 0.356 0.635
0.014 0.370 0.135
0.644 0.630 0.635
0.630 0.986 0.365
0.630 0.644 0.135
0.356 0.370 0.365
0.370 0.356 0.865
0.986 0.630 0.865
0.356 0.986 0.135
0.014 0.644 0.365
0.644 0.014 0.865
0.370 0.014 0.635
0.667 0.333 0.750
0.333 0.667 0.250
0.000 0.000 0.500
0.000 0.000 0.000
0.333 0.667 0.750
0.667 0.333 0.250

---

BaYAgBr6 (PBE, optimized geometry); theoretical density = 4.06 g/cm³; space group = P-31c (163); size of the total moment = 0.00 μB/f.u.; E = -0.2925 Ry per atom; energy relative to the elements, uncorrected = -1.615 eV per atom
1.0
-2.980 -1.285 6.622
7.245 1.235 -0.606
-2.218 13.838 1.687
Y Ba Ag Br
2 2 2 12
Direct
0.333 0.667 0.750
0.667 0.333 0.250
0.000 0.000 0.000
0.000 0.000 0.500
0.333 0.667 0.250
0.667 0.333 0.750
0.990 0.356 0.134
0.356 0.990 0.634
0.010 0.367 0.634
0.644 0.010 0.366
0.356 0.367 0.866
0.367 0.356 0.366
0.990 0.633 0.366
0.010 0.644 0.866
0.633 0.990 0.866
0.367 0.010 0.134
0.644 0.633 0.134
0.633 0.644 0.634

---

BaAgC (PBE, optimized geometry); theoretical density = 5.27 g/cm³; space group = C2/m (12); size of the total moment = 0.00 μB/f.u.; E = -0.3461 Ry per atom; energy of formation = -0.042 eV/atom
1.0
-2.292 -3.797 -1.287
2.731 2.318 -3.414
5.409 -4.740 4.349
C Ba Ag
2 2 2
Direct
0.424 0.849 0.966
0.576 0.151 0.034
0.082 0.164 0.790
0.918 0.836 0.210
0.661 0.322 0.502
0.339 0.678 0.498